Density functional theory data (PBE-GGA) for a relaxed structure of Ag5SnO5.

It has space group C2/m (No. 12), with a = 10.887 Å, b = 4.413 Å, c = 6.932 Å, α = 90.00°, β = 108.42° and γ = 90.00°. The asymmetric unit holds Ag at (0.000, 0.000, 0.000), Ag at (0.153, 0.500, 0.882), Ag at (0.155, 0.500, 0.319), Sn at (0.000, 0.000, 0.500), O at (0.000, 0.500, 0.500), O at (0.125, 0.000, 0.322) and O at (0.158, 0.000, 0.767).

The uncorrected formation energy is -428 meV/atom. For the theoretical density, the calculation gives 7.756 g/cm3.

***

Density functional theory data (PBE-GGA) for a relaxed structure of AgSn2O.

It has space group I-42d (No. 122), with a = 5.507 Å, b = 5.507 Å, c = 12.519 Å, α = 90.00°, β = 90.00° and γ = 90.00°. The asymmetric unit holds Ag at (0.000, 0.000, 0.000), Sn at (0.169, 0.250, 0.625) and O at (0.000, 0.000, 0.500).

The uncorrected formation energy is -310 meV/atom. For the theoretical density, the calculation gives 6.320 g/cm3.

***

Density functional theory data (PBE-GGA) for a relaxed structure of Ag5SnO4.

It has space group C2/m (No. 12), with a = 14.706 Å, b = 3.186 Å, c = 6.499 Å, α = 90.00°, β = 105.46° and γ = 90.00°. The asymmetric unit holds Ag at (0.000, 0.000, 0.000), Ag at (0.169, 0.500, 0.279), Ag at (0.189, 0.500, 0.838), Sn at (0.000, 0.000, 0.500), O at (0.018, 0.500, 0.728) and O at (0.144, 0.000, 0.536).

The uncorrected formation energy is -451 meV/atom. For the theoretical density, the calculation gives 8.169 g/cm3.

***

Density functional theory data (PBE-GGA) for a relaxed structure of AgSnO2.

It has space group I-42d (No. 122), with a = 5.297 Å, b = 5.297 Å, c = 9.974 Å, α = 90.00°, β = 90.00° and γ = 90.00°. The asymmetric unit holds Ag at (0.000, 0.000, 0.000), Sn at (0.000, 0.000, 0.500) and O at (0.192, 0.250, 0.625).

The uncorrected formation energy is -806 meV/atom. For the theoretical density, the calculation gives 6.137 g/cm3.

***

What total moment values result from the calculations? In sequence: 0.00; 0.00; 0.00; 0.00 μB/cell.